Density functional theory data (GGA-PBE) for a geometry-optimized GeTeAs3 structure. Values from VASP.

```
&SYSTEM
  ibrav = 0, nat = 5, ntyp = 3
/
ATOMIC_SPECIES
As 74.92 As.upf
Te 127.60 Te.upf
Ge 72.64 Ge.upf
CELL_PARAMETERS angstrom
4.9649 0.0000 0.0000
0.0000 4.9649 0.0000
0.0000 0.0000 4.9649
ATOMIC_POSITIONS angstrom
As 2.4825 0.0000 0.0000
As 0.0000 2.4825 0.0000
Te 2.4825 2.4825 2.4825
As 0.0000 0.0000 2.4825
Ge 0.0000 0.0000 0.0000
```

Results
Formation energy from raw total energies: 3.6 eV/f.u.
Spin magnetization: 0.000 μB per atom
Volume: 24.5 Å³ per atom
Total energy: -18.14 eV per cell